[1]
This record from Alexandria describes an optimized crystal structure of ScTaW2. The functional is GGA-PBE.

abc: 9.5475 2.7266 5.4719
angles: 90.00 90.09 90.00
Space group Cm (No. 8)
Unique sites:
Sc 0.0000 0.0000 0.0000 [2 per cell]
Ta 0.2526 0.0000 0.7496 [2 per cell]
W 0.0031 0.5000 0.4958 [2 per cell]
W 0.2475 0.5000 0.2532 [2 per cell]

[2]
This record from Alexandria describes an optimized crystal structure of ScTaW2. The functional is GGA-PBE.

abc: 2.8910 2.8910 29.7343
angles: 90.00 90.00 120.00
Space group R-3m (No. 166, hexagonal axes)
Unique sites:
Sc 0.0000 0.0000 0.0000 [3 per cell]
Ta 0.0000 0.0000 0.5000 [3 per cell]
W 0.0000 0.0000 0.2497 [6 per cell]

[3]
This record from Alexandria describes an optimized crystal structure of ScTaW2. The functional is GGA-PBE.

abc: 3.2504 4.6166 4.6614
angles: 90.00 90.00 90.00
Space group Pmmm (No. 47)
Unique sites:
Sc 0.0000 0.0000 0.0000 [1 per cell]
Ta 0.5000 0.0000 0.5000 [1 per cell]
W 0.0000 0.5000 0.5000 [1 per cell]
W 0.5000 0.5000 0.0000 [1 per cell]

[4]
This record from Alexandria describes an optimized crystal structure of Sc2TaW. The functional is GGA-PBE.

abc: 3.5880 4.4452 9.6341
angles: 90.00 90.00 90.00
Space group Cmmm (No. 65)
Unique sites:
Sc 0.0000 0.0000 0.2420 [4 per cell]
Ta 0.0000 0.5000 0.5000 [2 per cell]
W 0.0000 0.5000 0.0000 [2 per cell]

[5]
This record from Alexandria describes an optimized crystal structure of Sc2TaW. The functional is GGA-PBE.

abc: 3.3261 3.3261 7.4524
angles: 90.00 90.00 90.00
Space group P4mm (No. 99)
Unique sites:
Sc 0.0000 0.0000 0.0000 [1 per cell]
Sc 0.5000 0.5000 0.3323 [1 per cell]
Ta 0.0000 0.0000 0.5828 [1 per cell]
W 0.5000 0.5000 0.7678 [1 per cell]

[6]
This record from Alexandria describes an optimized crystal structure of Sc2TaW. The functional is GGA-PBE.

abc: 2.9431 4.6062 5.9016
angles: 90.00 100.77 90.00
Space group Pm (No. 6)
Unique sites:
Sc 0.0000 0.0000 0.0000 [1 per cell]
Sc 0.2248 0.5000 0.7017 [1 per cell]
Ta 0.6627 0.5000 0.2464 [1 per cell]
W 0.5183 0.0000 0.4653 [1 per cell]

[7]
This record from Alexandria describes an optimized crystal structure of Sc2TaW. The functional is GGA-PBE.

abc: 2.8790 4.8043 5.6810
angles: 90.00 102.94 90.00
Space group P2/m (No. 10)
Unique sites:
Sc 0.0683 0.0000 0.2552 [2 per cell]
Ta 0.5000 0.5000 0.0000 [1 per cell]
W 0.5000 0.5000 0.5000 [1 per cell]

[8]
This record from Alexandria describes an optimized crystal structure of ScTaW2. The functional is GGA-PBE.

abc: 7.4043 7.4043 5.5594
angles: 90.00 90.00 90.00
Space group I-42d (No. 122)
Unique sites:
Sc 0.0000 0.0000 0.0000 [4 per cell]
Ta 0.0000 0.0000 0.5000 [4 per cell]
W 0.2349 0.7500 0.6250 [8 per cell]

[9]
This record from Alexandria describes an optimized crystal structure of ScTaW2. The functional is GGA-PBE.

abc: 3.2559 4.6431 9.4491
angles: 90.00 90.00 90.00
Space group Cmm2 (No. 35)
Unique sites:
Sc 0.0000 0.0000 0.0000 [2 per cell]
Ta 0.0000 0.5000 0.7218 [2 per cell]
W 0.0000 0.0000 0.4829 [2 per cell]
W 0.0000 0.5000 0.2547 [2 per cell]

[10]
This record from Alexandria describes an optimized crystal structure of Sc2TaW. The functional is GGA-PBE.

abc: 2.8269 4.6561 5.9070
angles: 90.00 90.00 90.00
Space group Pmm2 (No. 25)
Unique sites:
Sc 0.0000 0.0000 0.0000 [1 per cell]
Sc 0.5000 0.5000 0.2680 [1 per cell]
Ta 0.0000 0.0000 0.5264 [1 per cell]
W 0.5000 0.5000 0.7466 [1 per cell]

[11]
This record from Alexandria describes an optimized crystal structure of Sc2TaW. The functional is GGA-PBE.

abc: 6.7458 6.7458 6.7458
angles: 90.00 90.00 90.00
Space group Fm-3m (No. 225)
Unique sites:
Sc 0.2500 0.2500 0.2500 [8 per cell]
Ta 0.0000 0.0000 0.0000 [4 per cell]
W 0.0000 0.0000 0.5000 [4 per cell]

[12]
This record from Alexandria describes an optimized crystal structure of Sc2TaW. The functional is GGA-PBE.

abc: 2.8453 2.8453 9.7708
angles: 90.00 90.00 90.00
Space group P4mm (No. 99)
Unique sites:
Sc 0.0000 0.0000 0.0000 [1 per cell]
Sc 0.5000 0.5000 0.2972 [1 per cell]
Ta 0.0000 0.0000 0.5350 [1 per cell]
W 0.5000 0.5000 0.7715 [1 per cell]

[13]
This record from Alexandria describes an optimized crystal structure of ScTaW2. The functional is GGA-PBE.

abc: 3.3038 4.5607 9.3685
angles: 90.00 90.00 90.00
Space group Cmmm (No. 65)
Unique sites:
Sc 0.0000 0.0000 0.0000 [2 per cell]
Ta 0.0000 0.0000 0.5000 [2 per cell]
W 0.0000 0.5000 0.2584 [4 per cell]

[14]
This record from Alexandria describes an optimized crystal structure of ScTaW2. The functional is GGA-PBE.

abc: 3.2450 4.7077 9.2180
angles: 90.00 90.00 90.00
Space group Immm (No. 71)
Unique sites:
Sc 0.0000 0.0000 0.0000 [2 per cell]
Ta 0.0000 0.0000 0.5000 [2 per cell]
W 0.0000 0.5000 0.2407 [4 per cell]

[15]
This record from Alexandria describes an optimized crystal structure of ScTaW2. The functional is GGA-PBE.

abc: 2.8052 4.6031 5.5070
angles: 90.00 99.39 90.00
Space group P2/m (No. 10)
Unique sites:
Sc 0.0000 0.0000 0.0000 [1 per cell]
Ta 0.5000 0.0000 0.5000 [1 per cell]
W 0.2672 0.5000 0.7479 [2 per cell]

Short version: energy relative to the elements = 0.31, 0.42, 0.24, 0.27, 0.10, 0.18, 0.24, 0.92, 0.14, 0.32, 0.53, 0.26, 0.14, 0.18, 0.15 eV per atom, in the order given.